Record 1
# KZnIr

An optimized crystal structure of KZnIr (PBE, the Open Quantum Materials Database).

Lattice parameters (Å, degrees): 4.614 4.614 4.614 60.00 60.00 60.00
Atoms (fractional coordinates):
Ir: 0.000 0.000 0.000
K: 0.250 0.250 0.250
Zn: 0.750 0.750 0.750

Output
**Theoretical density**: 7.09 g cm⁻³
**Total DFT energy (no corrections)**: -8.60 eV/f.u.
**Space-group type**: No. 216

***

Record 2
# BeNbZnCu

An optimized crystal structure of BeNbZnCu (PBE, the Open Quantum Materials Database).

Lattice parameters (Å, degrees): 4.205 4.205 4.205 60.00 60.00 60.00
Atoms (fractional coordinates):
Be: 0.250 0.250 0.250
Cu: 0.750 0.750 0.750
Nb: 0.500 0.500 0.500
Zn: 0.000 0.000 0.000

Output
**Theoretical density**: 7.29 g cm⁻³
**Total DFT energy (no corrections)**: -18.40 eV/f.u.
**Space-group type**: No. 216

***

Record 3
# BaPdSeO

An optimized crystal structure of BaPdSeO (PBE, the Open Quantum Materials Database).

Lattice parameters (Å, degrees): 4.263 4.263 9.377 90.00 90.00 90.00
Atoms (fractional coordinates):
Ba: 0.750 0.750 0.150
Ba: 0.250 0.250 0.850
O: 0.250 0.250 0.116
O: 0.750 0.750 0.884
Pd: 0.250 0.250 0.350
Pd: 0.750 0.750 0.650
Se: 0.750 0.250 0.500
Se: 0.250 0.750 0.500

Output
**Theoretical density**: 6.60 g cm⁻³
**Total DFT energy (no corrections)**: -20.43 eV/f.u.
**Space-group type**: No. 129

***

Record 4
# SrRe4Ag3O12

An optimized crystal structure of SrRe4Ag3O12 (PBE, the Open Quantum Materials Database).

Lattice parameters (Å, degrees): 6.729 6.729 6.729 109.47 109.47 109.47
Atoms (fractional coordinates):
Ag: 0.500 0.500 0.000
Ag: 0.500 0.000 0.500
Ag: 0.000 0.500 0.500
O: 0.777 0.269 0.047
O: 0.269 0.492 0.223
O: 0.731 0.953 0.223
O: 0.492 0.223 0.269
O: 0.047 0.777 0.269
O: 0.223 0.269 0.492
O: 0.777 0.731 0.508
O: 0.953 0.223 0.731
O: 0.508 0.777 0.731
O: 0.269 0.047 0.777
O: 0.731 0.508 0.777
O: 0.223 0.731 0.953
Re: 0.500 0.000 0.000
Re: 0.000 0.500 0.000
Re: 0.000 0.000 0.500
Re: 0.500 0.500 0.500
Sr: 0.000 0.000 0.000

Output
**Theoretical density**: 9.54 g cm⁻³
**Total DFT energy (no corrections)**: -143.87 eV/f.u.
**Space-group type**: No. 204